Compound: Mg4Tl2Ag
Source: Alexandria
Functional: PBE
Structure: relaxed

Properties
DFT formation energy, eV/atom: -0.030
DOS at the Fermi energy, states/eV per atom: 0.179
Total DFT energy (no corrections), eV/atom: -2.024
Energy above the lowest structure with this stoichiometry, meV per atom: 0
V, Å³ per cell: 329.5
Magnetization, μB per atom: 0.000
Crystal system: tetragonal

a = 7.5371 Å, b = 7.5371 Å, c = 7.5371 Å
α = 110.03°, β = 110.03°, γ = 108.35°
Positions (direct):
Mg1 0.0350 0.1393 0.7475
Mg2 0.2060 0.4508 0.6017
Mg3 0.3918 0.2876 0.2525
Mg4 0.3958 0.7940 0.2449
Mg5 0.5492 0.1509 0.7551
Mg6 0.7124 0.9650 0.1043
Mg7 0.8491 0.6042 0.3983
Mg8 0.8607 0.6082 0.8957
Tl1 0.0183 0.3835 0.1426
Tl2 0.1243 0.9817 0.3652
Tl3 0.2409 0.8757 0.8574
Tl4 0.6165 0.7591 0.6348
Ag1 0.5000 0.5000 0.0000
Ag2 0.7500 0.2500 0.5000



Compound: In3MoPt12
Source: Alexandria
Functional: PBE
Structure: relaxed

Properties
DFT formation energy, eV/atom: -0.367
DOS at the Fermi energy, states/eV per atom: 0.760
Total DFT energy (no corrections), eV/atom: -6.088
V, Å³ per cell: 261.5
Magnetization, μB per atom: 0.031
Crystal system: tetragonal

a = 4.0266 Å, b = 4.0266 Å, c = 16.1278 Å
α = 90.00°, β = 90.00°, γ = 90.00°
Positions (direct):
In1 0.0000 0.0000 0.0000
In2 0.0000 0.0000 0.2493
In3 0.0000 0.0000 0.7507
Mo1 0.0000 0.0000 0.5000
Pt1 0.0000 0.5000 0.1260
Pt2 0.0000 0.5000 0.3828
Pt3 0.0000 0.5000 0.6172
Pt4 0.0000 0.5000 0.8740
Pt5 0.5000 0.0000 0.1260
Pt6 0.5000 0.0000 0.3828
Pt7 0.5000 0.0000 0.6172
Pt8 0.5000 0.0000 0.8740
Pt9 0.5000 0.5000 0.0000
Pt10 0.5000 0.5000 0.2547
Pt11 0.5000 0.5000 0.5000
Pt12 0.5000 0.5000 0.7453